*P*
Density functional theory data (PBE-GGA) for a relaxed structure of Ba3YAl.

Symmetry: Pm-3m, No. 221
Magnetic moment, Bohr magnetons per cell: 1.8

a b c (Å): 6.506 6.506 6.506
angles (deg): 90.00 90.00 90.00
Fractional positions:
Ba 0.000 0.000 0.500
Ba 0.000 0.500 0.000
Ba 0.500 0.000 0.000
Y 0.500 0.500 0.500
Al 0.000 0.000 0.000

***

*Q*
Density functional theory data (PBE-GGA) for a relaxed structure of Ba3YAl.

Symmetry: Pm-3m, No. 221
Magnetic moment, Bohr magnetons per cell: 0.0

a b c (Å): 6.429 6.429 6.429
angles (deg): 90.00 90.00 90.00
Fractional positions:
Ba 0.000 0.000 0.500
Ba 0.000 0.500 0.000
Ba 0.500 0.000 0.000
Y 0.000 0.000 0.000
Al 0.500 0.500 0.500

***

Of them, the most stable is *P* and the least stable is *Q*.

***

*P*
Density functional theory data (PBE-GGA) for a relaxed structure of Ba2Y2Al.

Symmetry: P4/mbm, No. 127
Magnetic moment, Bohr magnetons per cell: 0.0

a b c (Å): 8.524 8.524 5.357
angles (deg): 90.00 90.00 90.00
Fractional positions:
Ba 0.140 0.360 0.000
Ba 0.360 0.860 0.000
Ba 0.640 0.140 0.000
Ba 0.860 0.640 0.000
Y 0.165 0.665 0.500
Y 0.335 0.165 0.500
Y 0.665 0.835 0.500
Y 0.835 0.335 0.500
Al 0.000 0.000 0.000
Al 0.500 0.500 0.000

***

*Q*
Density functional theory data (PBE-GGA) for a relaxed structure of Ba2Y2Al.

Symmetry: I4/mmm, No. 139
Magnetic moment, Bohr magnetons per cell: 0.0

a b c (Å): 9.950 9.950 9.950
angles (deg): 153.97 153.97 37.14
Fractional positions:
Ba 0.250 0.750 0.500
Ba 0.750 0.250 0.500
Y 0.078 0.078 0.000
Y 0.922 0.922 0.000
Al 0.500 0.500 0.000

***

*R*
Density functional theory data (PBE-GGA) for a relaxed structure of Ba2Y2Al.

Symmetry: I4/mmm, No. 139
Magnetic moment, Bohr magnetons per cell: 0.0

a b c (Å): 11.261 11.261 11.261
angles (deg): 157.22 157.22 32.44
Fractional positions:
Ba 0.088 0.088 0.000
Ba 0.912 0.912 0.000
Y 0.250 0.750 0.500
Y 0.750 0.250 0.500
Al 0.500 0.500 0.000

***

Of them, the most stable is *R* and the least stable is *Q*.

***

*P*
Density functional theory data (PBE-GGA) for a relaxed structure of BaYAl.

Symmetry: P4/nmm, No. 129
Magnetic moment, Bohr magnetons per cell: 0.8

a b c (Å): 3.970 3.970 13.364
angles (deg): 90.00 90.00 90.00
Fractional positions:
Ba 0.250 0.250 0.146
Ba 0.750 0.750 0.854
Y 0.250 0.250 0.419
Y 0.750 0.750 0.581
Al 0.250 0.250 0.680
Al 0.750 0.750 0.320

***

*Q*
Density functional theory data (PBE-GGA) for a relaxed structure of BaYAl.

Symmetry: P-6m2, No. 187
Magnetic moment, Bohr magnetons per cell: 0.0

a b c (Å): 5.420 5.420 4.104
angles (deg): 90.00 90.00 120.00
Fractional positions:
Ba 0.000 0.000 0.000
Y 0.667 0.333 0.500
Al 0.333 0.667 0.500

***

*R*
Density functional theory data (PBE-GGA) for a relaxed structure of BaYAl.

Symmetry: Cmcm, No. 63
Magnetic moment, Bohr magnetons per cell: 0.0

a b c (Å): 12.391 12.391 4.216
angles (deg): 90.00 90.00 159.68
Fractional positions:
Ba 0.179 0.821 0.750
Ba 0.821 0.179 0.250
Y 0.438 0.562 0.750
Y 0.562 0.438 0.250
Al 0.034 0.966 0.750
Al 0.966 0.034 0.250

***

*S*
Density functional theory data (PBE-GGA) for a relaxed structure of BaYAl.

Symmetry: P3m1, No. 156
Magnetic moment, Bohr magnetons per cell: 0.3

a b c (Å): 3.850 3.850 8.288
angles (deg): 90.00 90.00 120.00
Fractional positions:
Ba 0.000 0.000 0.000
Y 0.667 0.333 0.432
Al 0.333 0.667 0.687

***

Of them, the most stable is *R* and the least stable is *S*.

***

*P*
Density functional theory data (PBE-GGA) for a relaxed structure of BaYAl.

Symmetry: F-43m, No. 216
Magnetic moment, Bohr magnetons per cell: 0.0

a b c (Å): 5.454 5.454 5.454
angles (deg): 60.00 60.00 60.00
Fractional positions:
Ba 0.000 0.000 0.000
Y 0.500 0.500 0.500
Al 0.750 0.750 0.750

***

*Q*
Density functional theory data (PBE-GGA) for a relaxed structure of BaYAl.

Symmetry: F-43m, No. 216
Magnetic moment, Bohr magnetons per cell: 0.0

a b c (Å): 5.328 5.328 5.328
angles (deg): 60.00 60.00 60.00
Fractional positions:
Ba 0.000 0.000 0.000
Y 0.750 0.750 0.750
Al 0.250 0.250 0.250

***

*R*
Density functional theory data (PBE-GGA) for a relaxed structure of BaYAl.

Symmetry: I4mm, No. 107
Magnetic moment, Bohr magnetons per cell: 0.0

a b c (Å): 7.441 7.441 7.441
angles (deg): 149.80 149.80 43.24
Fractional positions:
Ba 0.000 0.000 0.000
Y 0.271 0.271 0.000
Al 0.672 0.672 0.000

***

Of them, the most stable is *R* and the least stable is *Q*.